Y3Be2Si3: relaxed, PBE.

Calculated values
- Uncorrected formation energy: -0.634 eV/atom
- Calculated density: 4.11 g/cm³

The structure in CIF format:
```
data_Y3Be2Si3
_cell_length_a 3.864
_cell_length_b 5.608
_cell_length_c 14.650
_cell_angle_alpha 90.00
_cell_angle_beta 90.00
_cell_angle_gamma 110.15
_space_group_name_H-M_alt 'P 1'
_space_group_IT_number 1
_space_group_name_Hall 'P 1'
loop_
_atom_site_label
_atom_site_type_symbol
_atom_site_fract_x
_atom_site_fract_y
_atom_site_fract_z
_atom_site_occupancy
Y1 Y 0.852 0.703 0.407 1
Y2 Y 0.148 0.297 0.907 1
Y3 Y 0.852 0.703 0.093 1
Y4 Y 0.148 0.297 0.593 1
Y5 Y 0.551 0.101 0.250 1
Y6 Y 0.449 0.899 0.750 1
Be1 Be 0.860 0.720 0.881 1
Be2 Be 0.140 0.280 0.381 1
Be3 Be 0.860 0.720 0.619 1
Be4 Be 0.140 0.280 0.119 1
Si1 Si 0.577 0.154 0.442 1
Si2 Si 0.423 0.846 0.942 1
Si3 Si 0.577 0.154 0.058 1
Si4 Si 0.423 0.846 0.558 1
Si5 Si 0.268 0.536 0.250 1
Si6 Si 0.732 0.464 0.750 1
```

AlInI2O: relaxed, PBE.

Calculated values
- Excess energy over the best structure of this formula in the dataset: 0 meV/atom
- Uncorrected formation energy: -0.931 eV/atom
- Calculated density: 5.39 g/cm³

The structure in CIF format:
```
data_AlInI2O
_cell_length_a 6.025
_cell_length_b 6.025
_cell_length_c 3.490
_cell_angle_alpha 90.00
_cell_angle_beta 90.00
_cell_angle_gamma 90.00
_space_group_name_H-M_alt 'P 1'
_space_group_IT_number 1
_space_group_name_Hall 'P 1'
loop_
_atom_site_label
_atom_site_type_symbol
_atom_site_fract_x
_atom_site_fract_y
_atom_site_fract_z
_atom_site_occupancy
I1 I 0.000 0.500 0.000 1
I2 I 0.500 0.000 0.000 1
Al1 Al 0.000 0.000 0.000 1
O1 O 0.000 0.000 0.500 1
In1 In 0.500 0.500 0.500 1
```

> What is the calculated density in the first record?

4.11 g/cm³

> Which of these has the highest calculated density?

AlInI2O

Repeat the first record exactly.
Y3Be2Si3: relaxed, PBE.

Calculated values
- Uncorrected formation energy: -0.634 eV/atom
- Calculated density: 4.11 g/cm³

The structure in CIF format:
```
data_Y3Be2Si3
_cell_length_a 3.864
_cell_length_b 5.608
_cell_length_c 14.650
_cell_angle_alpha 90.00
_cell_angle_beta 90.00
_cell_angle_gamma 110.15
_space_group_name_H-M_alt 'P 1'
_space_group_IT_number 1
_space_group_name_Hall 'P 1'
loop_
_atom_site_label
_atom_site_type_symbol
_atom_site_fract_x
_atom_site_fract_y
_atom_site_fract_z
_atom_site_occupancy
Y1 Y 0.852 0.703 0.407 1
Y2 Y 0.148 0.297 0.907 1
Y3 Y 0.852 0.703 0.093 1
Y4 Y 0.148 0.297 0.593 1
Y5 Y 0.551 0.101 0.250 1
Y6 Y 0.449 0.899 0.750 1
Be1 Be 0.860 0.720 0.881 1
Be2 Be 0.140 0.280 0.381 1
Be3 Be 0.860 0.720 0.619 1
Be4 Be 0.140 0.280 0.119 1
Si1 Si 0.577 0.154 0.442 1
Si2 Si 0.423 0.846 0.942 1
Si3 Si 0.577 0.154 0.058 1
Si4 Si 0.423 0.846 0.558 1
Si5 Si 0.268 0.536 0.250 1
Si6 Si 0.732 0.464 0.750 1
```

> Look up the calculated density of the second one.

5.39 g/cm³